Entry 1:
An optimized crystal structure of Th7Tc2Au2. Source: Alexandria via LeMat-Bulk, functional PBE.

Values from the calculation:
Electronic total energy = -7.4979 eV/atom
DFT formation energy = -0.30 eV/atom
N(E_F) = 26.35 states/eV per cell
Crystal system = orthorhombic
Energy relative to the lowest polymorph listed for this composition = 0 meV/atom
Volume = 303.4 Å³/f.u.

Cell and atoms, written as CIF:
```
data_Th7Tc2Au2
_space_group_name_H-M_alt 'I m m 2'
_space_group_IT_number 44
_cell_length_a 3.912
_cell_length_b 15.490
_cell_length_c 10.012
_cell_angle_alpha 90.00
_cell_angle_beta 90.00
_cell_angle_gamma 90.00
loop_
_space_group_symop_operation_xyz
'x,y,z'
'-x,-y,z'
'-x,y,z'
'x,-y,z'
'x+1/2,y+1/2,z+1/2'
'-x+1/2,-y+1/2,z+1/2'
'-x+1/2,y+1/2,z+1/2'
'x+1/2,-y+1/2,z+1/2'
loop_
_atom_site_label
_atom_site_type_symbol
_atom_site_fract_x
_atom_site_fract_y
_atom_site_fract_z
_atom_site_occupancy
Th1 Th 0.000 0.000 0.000 1
Th2 Th 0.000 0.127 0.594 1
Th3 Th 0.000 0.314 0.379 1
Th4 Th 0.000 0.359 0.739 1
Tc1 Tc 0.000 0.234 0.069 1
Au1 Au 0.000 0.000 0.341 1
Au2 Au 0.000 0.500 0.244 1
```

***

Entry 2:
An optimized crystal structure of Th7Tc2Au2. Source: Alexandria via LeMat-Bulk, functional PBE.

Values from the calculation:
Electronic total energy = -7.3099 eV/atom
DFT formation energy = -0.11 eV/atom
N(E_F) = 25.27 states/eV per cell
Crystal system = orthorhombic
Energy relative to the lowest polymorph listed for this composition = 188 meV/atom
Volume = 318.1 Å³/f.u.

Cell and atoms, written as CIF:
```
data_Th7Tc2Au2
_space_group_name_H-M_alt 'C m m m'
_space_group_IT_number 65
_space_group_name_Hall '-C 2 2'
_cell_length_a 8.135
_cell_length_b 11.112
_cell_length_c 7.039
_cell_angle_alpha 90.00
_cell_angle_beta 90.00
_cell_angle_gamma 90.00
loop_
_atom_site_label
_atom_site_type_symbol
_atom_site_fract_x
_atom_site_fract_y
_atom_site_fract_z
_atom_site_occupancy
Th1 Th 0.000 0.000 0.000 1
Th2 Th 0.000 0.500 0.261 1
Th3 Th 0.250 0.250 0.265 1
Tc1 Tc 0.000 0.291 0.000 1
Au1 Au 0.171 0.000 0.500 1
```

***

Entry 3:
An optimized crystal structure of Th6Tc2Au. Source: Alexandria via LeMat-Bulk, functional PBE.

Values from the calculation:
Electronic total energy = -7.8217 eV/atom
DFT formation energy = -0.21 eV/atom
N(E_F) = 45.38 states/eV per cell
Crystal system = orthorhombic
Volume = 244.5 Å³/f.u.

Cell and atoms, written as CIF:
```
data_Th6Tc2Au
_space_group_name_H-M_alt 'I m m m'
_space_group_IT_number 71
_space_group_name_Hall '-I 2 2'
_cell_length_a 9.315
_cell_length_b 9.550
_cell_length_c 10.992
_cell_angle_alpha 90.00
_cell_angle_beta 90.00
_cell_angle_gamma 90.00
loop_
_atom_site_label
_atom_site_type_symbol
_atom_site_fract_x
_atom_site_fract_y
_atom_site_fract_z
_atom_site_occupancy
Th1 Th 0.000 0.196 0.237 1
Th2 Th 0.196 0.500 0.165 1
Th3 Th 0.205 0.317 0.500 1
Tc1 Tc 0.000 0.328 0.000 1
Tc2 Tc 0.000 0.500 0.362 1
Au1 Au 0.000 0.000 0.000 1
Au2 Au 0.000 0.000 0.500 1
```

***

Entry 4:
An optimized crystal structure of Th4TcAu2. Source: Alexandria via LeMat-Bulk, functional PBE.

Values from the calculation:
Electronic total energy = -7.0246 eV/atom
DFT formation energy = -0.37 eV/atom
N(E_F) = 12.82 states/eV per cell
Crystal system = orthorhombic
Energy relative to the lowest polymorph listed for this composition = 0 meV/atom
Volume = 204.1 Å³/f.u.

Cell and atoms, written as CIF:
```
data_Th4TcAu2
_space_group_name_H-M_alt 'P b a m'
_space_group_IT_number 55
_cell_length_a 7.697
_cell_length_b 12.500
_cell_length_c 4.243
_cell_angle_alpha 90.00
_cell_angle_beta 90.00
_cell_angle_gamma 90.00
loop_
_space_group_symop_operation_xyz
'x,y,z'
'-x,-y,-z'
'-x,-y,z'
'x,y,-z'
'x+1/2,-y+1/2,-z'
'-x+1/2,y+1/2,z'
'-x+1/2,y+1/2,-z'
'x+1/2,-y+1/2,z'
loop_
_atom_site_label
_atom_site_type_symbol
_atom_site_fract_x
_atom_site_fract_y
_atom_site_fract_z
_atom_site_occupancy
Th1 Th 0.133 0.208 0.000 1
Th2 Th 0.233 0.951 0.500 1
Tc1 Tc 0.000 0.000 0.000 1
Au1 Au 0.088 0.676 0.500 1
```

***

Entry 5:
An optimized crystal structure of Th3TcAu. Source: Alexandria via LeMat-Bulk, functional PBE.

Values from the calculation:
Electronic total energy = -7.4898 eV/atom
DFT formation energy = -0.31 eV/atom
N(E_F) = 20.16 states/eV per cell
Crystal system = monoclinic
Energy relative to the lowest polymorph listed for this composition = 14 meV/atom
Volume = 134.5 Å³/f.u.

Cell and atoms, written as CIF:
```
data_Th3TcAu
_space_group_name_H-M_alt 'C 1 2/m 1'
_space_group_IT_number 12
_cell_length_a 11.905
_cell_length_b 4.646
_cell_length_c 10.015
_cell_angle_alpha 90.00
_cell_angle_beta 103.74
_cell_angle_gamma 90.00
loop_
_space_group_symop_operation_xyz
'x,y,z'
'-x,-y,-z'
'-x,y,-z'
'x,-y,z'
'x+1/2,y+1/2,z'
'-x+1/2,-y+1/2,-z'
'-x+1/2,y+1/2,-z'
'x+1/2,-y+1/2,z'
loop_
_atom_site_label
_atom_site_type_symbol
_atom_site_fract_x
_atom_site_fract_y
_atom_site_fract_z
_atom_site_occupancy
Th1 Th 0.086 0.000 0.377 1
Th2 Th 0.128 0.500 0.675 1
Th3 Th 0.154 0.500 0.106 1
Tc1 Tc 0.232 0.500 0.388 1
Au1 Au 0.080 0.000 0.904 1
```

***

Entry 6:
An optimized crystal structure of Th3TcAu. Source: Alexandria via LeMat-Bulk, functional PBE.

Values from the calculation:
Electronic total energy = -7.5036 eV/atom
DFT formation energy = -0.32 eV/atom
N(E_F) = 10.12 states/eV per cell
Crystal system = triclinic
Energy relative to the lowest polymorph listed for this composition = 0 meV/atom
Volume = 133.8 Å³/f.u.

Cell and atoms, written as CIF:
```
data_Th3TcAu
_space_group_name_H-M_alt 'P -1'
_space_group_IT_number 2
_cell_length_a 3.939
_cell_length_b 6.244
_cell_length_c 11.681
_cell_angle_alpha 81.76
_cell_angle_beta 80.32
_cell_angle_gamma 71.68
loop_
_space_group_symop_operation_xyz
'x,y,z'
'-x,-y,-z'
loop_
_atom_site_label
_atom_site_type_symbol
_atom_site_fract_x
_atom_site_fract_y
_atom_site_fract_z
_atom_site_occupancy
Th1 Th 0.030 0.179 0.262 1
Th2 Th 0.167 0.241 0.926 1
Th3 Th 0.351 0.262 0.535 1
Tc1 Tc 0.442 0.710 0.904 1
Au1 Au 0.304 0.611 0.280 1
```

***

Entry 7:
An optimized crystal structure of Th4TcAu2. Source: Alexandria via LeMat-Bulk, functional PBE.

Values from the calculation:
Electronic total energy = -7.0209 eV/atom
DFT formation energy = -0.36 eV/atom
N(E_F) = 28.85 states/eV per cell
Crystal system = orthorhombic
Energy relative to the lowest polymorph listed for this composition = 4 meV/atom
Volume = 192.5 Å³/f.u.

Cell and atoms, written as CIF:
```
data_Th4TcAu2
_space_group_name_H-M_alt 'P n m a'
_space_group_IT_number 62
_cell_length_a 12.836
_cell_length_b 3.957
_cell_length_c 15.162
_cell_angle_alpha 90.00
_cell_angle_beta 90.00
_cell_angle_gamma 90.00
loop_
_space_group_symop_operation_xyz
'x,y,z'
'-x,-y,-z'
'-x+1/2,-y,z+1/2'
'x+1/2,y,-z+1/2'
'x+1/2,-y+1/2,-z+1/2'
'-x+1/2,y+1/2,z+1/2'
'-x,y+1/2,-z'
'x,-y+1/2,z'
loop_
_atom_site_label
_atom_site_type_symbol
_atom_site_fract_x
_atom_site_fract_y
_atom_site_fract_z
_atom_site_occupancy
Th1 Th 0.014 0.250 0.200 1
Th2 Th 0.048 0.250 0.611 1
Th3 Th 0.193 0.750 0.052 1
Th4 Th 0.249 0.250 0.798 1
Tc1 Tc 0.202 0.750 0.676 1
Au1 Au 0.059 0.250 0.943 1
Au2 Au 0.128 0.250 0.415 1
```

***

Entry 8:
An optimized crystal structure of Th3Tc2Au. Source: Alexandria via LeMat-Bulk, functional PBE.

Values from the calculation:
Electronic total energy = -7.9333 eV/atom
DFT formation energy = -0.22 eV/atom
N(E_F) = 7.75 states/eV per cell
Crystal system = triclinic
Volume = 144.3 Å³/f.u.

Cell and atoms, written as CIF:
```
data_Th3Tc2Au
_space_group_name_H-M_alt 'P -1'
_space_group_IT_number 2
_cell_length_a 6.039
_cell_length_b 7.095
_cell_length_c 7.542
_cell_angle_alpha 73.24
_cell_angle_beta 72.25
_cell_angle_gamma 74.19
loop_
_space_group_symop_operation_xyz
'x,y,z'
'-x,-y,-z'
loop_
_atom_site_label
_atom_site_type_symbol
_atom_site_fract_x
_atom_site_fract_y
_atom_site_fract_z
_atom_site_occupancy
Th1 Th 0.175 0.264 0.463 1
Th2 Th 0.303 0.471 0.835 1
Th3 Th 0.314 0.945 0.880 1
Tc1 Tc 0.111 0.146 0.166 1
Tc2 Tc 0.114 0.660 0.190 1
Au1 Au 0.330 0.801 0.439 1
```

***

Entry 9:
An optimized crystal structure of Th2TcAu. Source: Alexandria via LeMat-Bulk, functional PBE.

Values from the calculation:
Electronic total energy = -7.4491 eV/atom
DFT formation energy = -0.33 eV/atom
N(E_F) = 7.56 states/eV per cell
Crystal system = trigonal
Energy relative to the lowest polymorph listed for this composition = 28 meV/atom
Volume = 106.4 Å³/f.u.

Cell and atoms, written as CIF:
```
data_Th2TcAu
_space_group_name_H-M_alt 'R -3 m'
_space_group_IT_number 166
_space_group_name_Hall '-R 3 2"'
_cell_length_a 4.1179
_cell_length_b 4.1179
_cell_length_c 21.7262
_cell_angle_alpha 90.00
_cell_angle_beta 90.00
_cell_angle_gamma 120.00
loop_
_atom_site_label
_atom_site_type_symbol
_atom_site_fract_x
_atom_site_fract_y
_atom_site_fract_z
_atom_site_occupancy
Th1 Th 0.0000 0.0000 0.2379 1
Tc1 Tc 0.0000 0.0000 0.5000 1
Au1 Au 0.0000 0.0000 0.0000 1
```

***

Entry 10:
An optimized crystal structure of Th2TcAu. Source: Alexandria via LeMat-Bulk, functional PBE.

Values from the calculation:
Electronic total energy = -7.3851 eV/atom
DFT formation energy = -0.26 eV/atom
N(E_F) = 21.36 states/eV per cell
Crystal system = cubic
Energy relative to the lowest polymorph listed for this composition = 92 meV/atom
Volume = 96.7 Å³/f.u.

Cell and atoms, written as CIF:
```
data_Th2TcAu
_space_group_name_H-M_alt 'F m -3 m'
_space_group_IT_number 225
_space_group_name_Hall '-F 4 2 3'
_cell_length_a 7.287
_cell_length_b 7.287
_cell_length_c 7.287
_cell_angle_alpha 90.00
_cell_angle_beta 90.00
_cell_angle_gamma 90.00
loop_
_atom_site_label
_atom_site_type_symbol
_atom_site_fract_x
_atom_site_fract_y
_atom_site_fract_z
_atom_site_occupancy
Th1 Th 0.250 0.250 0.250 1
Tc1 Tc 0.000 0.000 0.000 1
Au1 Au 0.000 0.000 0.500 1
```

***

Total magnetic moment values, unit μB per atom, following the record order: 0.000; 0.000; 0.000; 0.000; 0.000; 0.000; 0.000; 0.000; 0.000; 0.000.